{"formula": "CuIrCl4", "functional": "PBE", "state": "optimized geometry", "raw_formation_energy_kj_per_mol_fu": -255, "mass_density_g_cm3": 3.84, "magnetic_moment_mub_per_fu": 0.000, "relative_energy_mev_per_atom": 0, "crystal_system": "monoclinic", "lattice": [[-0.479, 5.312, -3.147], [-5.630, -1.945, -2.535], [-7.005, 2.559, 5.330]], "species": ["Cl", "Ir", "Cl", "Cl", "Cu", "Cl", "Cl", "Cl", "Ir", "Cu", "Cl", "Cl"], "frac_coords": [[0.927, 0.152, 0.593], [0.750, 0.051, 0.399], [0.595, 0.942, 0.200], [0.573, 0.754, 0.593], [0.250, 0.355, 0.790], [0.073, 0.848, 0.407], [0.427, 0.246, 0.407], [0.405, 0.058, 0.800], [0.250, 0.949, 0.601], [0.750, 0.645, 0.210], [0.905, 0.358, 0.200], [0.095, 0.642, 0.800]]}

=====

{"formula": "YNi6As2", "functional": "PBE", "state": "optimized geometry", "mass_density_g_cm3": 7.84, "magnetic_moment_mub_per_fu": 1.428, "e_form_mev_per_atom": -354, "crystal_system": "tetragonal", "lattice": [[-3.066, 1.298, -2.112], [-0.347, -3.550, -1.678], [-5.013, -2.287, 5.873]], "species": ["Y", "Ni", "As", "Ni", "Ni", "As", "Ni", "Ni", "Ni"], "frac_coords": [[0.000, 0.000, 0.000], [0.500, 0.500, 0.500], [0.500, 0.500, 0.163], [0.500, 0.000, 0.313], [0.500, 0.000, 0.687], [0.500, 0.500, 0.837], [0.000, 0.500, 0.313], [0.000, 0.000, 0.500], [0.000, 0.500, 0.687]]}